VASP calculation (GGA+U) on a relaxed ZnNiN2O crystal.

Cell: 3.882 3.882 3.944 Å, 90.00 90.00 90.00°
Fractional coordinates of all 5 atoms:
Zn (0.000, 0.000, 0.000)
Ni (0.500, 0.500, 0.500)
N (0.000, 0.500, 0.000)
N (0.500, 0.000, 0.000)
O (0.000, 0.000, 0.500)

Calculated values
Symmetry: No. 123
E_tot in eV per cell: -17.38
Crystal system: tetragonal
DOS at the Fermi energy in states/eV/cell: 3.49